[1]
CrIrW2 (PBE, relaxed); calculated volume = 15.00 Å³ per atom; E_form = 0.231 eV/atom; energy relative to the lowest polymorph listed for this composition = 181 meV/atom; Fermi-level density of states = 4.996 states/eV/cell; symmetry = No. 160
1.0
9.2948 -0.0042 -0.0025
8.8891 2.7161 -0.0025
8.8891 1.3257 2.3706
Cr Ir W
1 1 2
Direct
0.4958 0.4958 0.4958
0.7546 0.7546 0.7546
0.0036 0.0036 0.0036
0.2460 0.2460 0.2460

---

[2]
CrIrW2 (PBE, relaxed); calculated volume = 14.79 Å³ per atom; E_form = 0.155 eV/atom; energy relative to the lowest polymorph listed for this composition = 106 meV/atom; Fermi-level density of states = 3.930 states/eV/cell; symmetry = No. 123
1.0
3.1535 0.0000 0.0000
0.0000 3.1535 0.0000
0.0000 0.0000 5.9502
Cr Ir W
1 1 2
Direct
0.5000 0.5000 0.2500
0.5000 0.5000 0.7500
0.0000 0.0000 0.0194
0.0000 0.0000 0.4806

---

[3]
CrIrW2 (PBE, relaxed); calculated volume = 16.42 Å³ per atom; E_form = 0.756 eV/atom; energy relative to the lowest polymorph listed for this composition = 707 meV/atom; Fermi-level density of states = 9.561 states/eV/cell; symmetry = No. 122
1.0
3.7316 0.0000 0.0000
0.0000 3.7316 0.0000
1.8658 1.8658 9.4321
Cr Ir W
2 2 4
Direct
0.5000 0.5000 0.0000
0.2500 0.7500 0.5000
0.0000 0.0000 0.0000
0.7500 0.2500 0.5000
0.6166 0.1250 0.2500
0.1334 0.6250 0.2500
0.3750 0.3834 0.7500
0.8750 0.8666 0.7500

---

[4]
CrIr6W5 (PBE, relaxed); calculated volume = 14.89 Å³ per atom; E_form = -0.264 eV/atom; Fermi-level density of states = 6.637 states/eV/cell; symmetry = No. 71
1.0
0.5015 0.3705 -3.8481
2.7428 -7.3144 -0.3467
-7.0604 1.4755 1.1964
Cr Ir W
1 6 5
Direct
0.0000 0.0000 0.0000
0.8343 0.5865 0.6686
0.8343 0.0821 0.6686
0.5000 0.7542 0.0000
0.5000 0.2458 0.0000
0.1657 0.9179 0.3314
0.1657 0.4135 0.3314
0.6620 0.1620 0.3239
0.3326 0.3326 0.6652
0.0000 0.5000 0.0000
0.6674 0.6674 0.3348
0.3380 0.8380 0.6761

---

[5]
CrIr4W (PBE, relaxed); calculated volume = 15.80 Å³ per atom; E_form = 0.339 eV/atom; energy relative to the lowest polymorph listed for this composition = 503 meV/atom; Fermi-level density of states = 7.436 states/eV/cell; symmetry = No. 216
1.0
0.0000 3.6191 3.6191
3.6191 0.0000 3.6191
3.6191 3.6191 0.0000
Cr Ir W
1 4 1
Direct
0.0000 0.0000 0.0000
0.8762 0.3746 0.3746
0.3746 0.3746 0.8762
0.3746 0.8762 0.3746
0.3746 0.3746 0.3746
0.7500 0.7500 0.7500

---

[6]
CrIrW2 (PBE, relaxed); calculated volume = 14.79 Å³ per atom; E_form = 0.057 eV/atom; energy relative to the lowest polymorph listed for this composition = 8 meV/atom; Fermi-level density of states = 4.261 states/eV/cell; symmetry = No. 10
1.0
3.9565 0.0000 0.0000
0.0000 2.7329 0.0102
0.0000 2.0532 5.4772
Cr Ir W
1 1 2
Direct
0.5000 0.2500 0.2500
0.5000 0.7500 0.7500
0.0000 0.0623 0.0106
0.0000 0.4377 0.4894

---

[7]
CrIrW2 (PBE, relaxed); calculated volume = 14.77 Å³ per atom; E_form = 0.049 eV/atom; energy relative to the lowest polymorph listed for this composition = 0 meV/atom; Fermi-level density of states = 4.384 states/eV/cell; symmetry = No. 123
1.0
3.8913 0.0000 0.0000
0.0000 3.8915 0.0000
0.0000 0.0000 3.9011
Cr Ir W
1 1 2
Direct
0.5000 0.0000 0.5000
0.0000 0.5000 0.5000
0.0000 0.0000 0.0000
0.5000 0.5000 0.0000

---

[8]
CrIrW2 (PBE, relaxed); calculated volume = 14.86 Å³ per atom; E_form = 0.244 eV/atom; energy relative to the lowest polymorph listed for this composition = 195 meV/atom; Fermi-level density of states = 7.405 states/eV/cell; symmetry = No. 225
1.0
0.0000 3.0975 3.0975
3.0975 0.0000 3.0975
3.0975 3.0975 0.0000
Cr Ir W
1 1 2
Direct
0.0000 0.0000 0.0000
0.5000 0.5000 0.5000
0.2500 0.2500 0.2500
0.7500 0.7500 0.7500

---

[9]
CrIrW2 (PBE, relaxed); calculated volume = 14.90 Å³ per atom; E_form = 0.105 eV/atom; energy relative to the lowest polymorph listed for this composition = 56 meV/atom; Fermi-level density of states = 3.861 states/eV/cell; symmetry = No. 123
1.0
2.7690 0.0000 0.0000
0.0000 2.7690 0.0000
0.0000 0.0000 7.7745
Cr Ir W
1 1 2
Direct
0.5000 0.5000 0.2500
0.5000 0.5000 0.7500
0.0000 0.0000 0.0048
0.0000 0.0000 0.4952

---

[10]
CrIrW2 (PBE, relaxed); calculated volume = 15.17 Å³ per atom; E_form = 0.246 eV/atom; energy relative to the lowest polymorph listed for this composition = 197 meV/atom; Fermi-level density of states = 3.765 states/eV/cell; symmetry = No. 166
1.0
9.1300 -0.0155 -0.0091
8.7076 2.7447 -0.0091
8.7076 1.3323 2.3997
Cr Ir W
1 1 2
Direct
0.2500 0.2500 0.2500
0.7500 0.7500 0.7500
0.9999 0.9999 0.9999
0.5001 0.5001 0.5001

---

[11]
CrIrW2 (PBE, relaxed); calculated volume = 14.87 Å³ per atom; E_form = 0.105 eV/atom; energy relative to the lowest polymorph listed for this composition = 56 meV/atom; Fermi-level density of states = 2.623 states/eV/cell; symmetry = No. 65
1.0
2.7215 -0.0231 0.0000
-0.4845 2.6781 0.0000
0.0000 0.0000 8.1721
Cr Ir W
1 1 2
Direct
0.5000 0.5000 0.2500
0.5000 0.5000 0.7500
0.0000 0.0000 0.0016
0.0000 0.0000 0.4984

---

[12]
CrIr9W2 (PBE, relaxed); calculated volume = 14.60 Å³ per atom; E_form = -0.274 eV/atom; Fermi-level density of states = 8.850 states/eV/cell; symmetry = No. 123
1.0
3.8828 0.0000 0.0000
0.0000 3.8828 0.0000
0.0000 0.0000 11.6202
Cr Ir W
1 9 2
Direct
0.0000 0.0000 0.0000
0.5000 0.5000 0.0000
0.5000 0.5000 0.3336
0.5000 0.5000 0.6664
0.5000 0.0000 0.1666
0.5000 0.0000 0.5000
0.5000 0.0000 0.8334
0.0000 0.5000 0.1666
0.0000 0.5000 0.5000
0.0000 0.5000 0.8334
0.0000 0.0000 0.3278
0.0000 0.0000 0.6722